Record 1
Computed, not measured: a relaxed TaCu3Pt4 crystal at the PBE level of DFT.

Geometry as CIF:
```
data_TaCu3Pt4
_chemical_formula_sum 'Ta2 Cu6 Pt8'
_symmetry_space_group_name_H-M 'P m m a'
_symmetry_Int_Tables_number 51
_cell_length_a 8.953
_cell_length_b 5.628
_cell_length_c 4.642
_cell_angle_alpha 90.00
_cell_angle_beta 90.00
_cell_angle_gamma 90.00
loop_
_symmetry_equiv_pos_as_xyz
'x,y,z'
'-x,-y,-z'
'-x+1/2,-y,z'
'x+1/2,y,-z'
'x+1/2,-y,-z'
'-x+1/2,y,z'
'-x,y,-z'
'x,-y,z'
loop_
_atom_site_label
_atom_site_type_symbol
_atom_site_fract_x
_atom_site_fract_y
_atom_site_fract_z
Ta1 Ta 0.000 0.000 0.000
Cu1 Cu 0.000 0.500 0.000
Cu2 Cu 0.250 0.000 0.377
Cu3 Cu 0.250 0.500 0.373
Pt1 Pt 0.000 0.254 0.500
Pt2 Pt 0.250 0.256 0.878
```

DOS at the Fermi energy: 7.6 states/eV per cell
E: -6.435 eV/atom
Formation enthalpy at 0 K: -0.40 eV/atom

***

Record 2
Computed, not measured: a relaxed TaCuPt2 crystal at the PBE level of DFT.

Geometry as CIF:
```
data_TaCuPt2
_chemical_formula_sum 'Ta1 Cu1 Pt2'
_symmetry_space_group_name_H-M 'P m m 2'
_symmetry_Int_Tables_number 25
_cell_length_a 2.858
_cell_length_b 3.980
_cell_length_c 5.429
_cell_angle_alpha 90.00
_cell_angle_beta 90.00
_cell_angle_gamma 90.00
loop_
_symmetry_equiv_pos_as_xyz
'x,y,z'
'-x,-y,z'
'-x,y,z'
'x,-y,z'
loop_
_atom_site_label
_atom_site_type_symbol
_atom_site_fract_x
_atom_site_fract_y
_atom_site_fract_z
Ta1 Ta 0.000 0.000 0.000
Cu1 Cu 0.500 0.500 0.266
Pt1 Pt 0.000 0.000 0.473
Pt2 Pt 0.500 0.500 0.769
```

DOS at the Fermi energy: 2.1 states/eV per cell
E: -7.401 eV/atom
Formation enthalpy at 0 K: -0.39 eV/atom

***

Record 3
Computed, not measured: a relaxed TaCuPt4 crystal at the PBE level of DFT.

Geometry as CIF:
```
data_TaCuPt4
_chemical_formula_sum 'Ta2 Cu2 Pt8'
_symmetry_space_group_name_H-M 'P m m a'
_symmetry_Int_Tables_number 51
_cell_length_a 5.595
_cell_length_b 6.820
_cell_length_c 5.557
_cell_angle_alpha 90.00
_cell_angle_beta 90.00
_cell_angle_gamma 90.00
loop_
_symmetry_equiv_pos_as_xyz
'x,y,z'
'-x,-y,-z'
'-x+1/2,-y,z'
'x+1/2,y,-z'
'x+1/2,-y,-z'
'-x+1/2,y,z'
'-x,y,-z'
'x,-y,z'
loop_
_atom_site_label
_atom_site_type_symbol
_atom_site_fract_x
_atom_site_fract_y
_atom_site_fract_z
Ta1 Ta 0.250 0.000 0.213
Cu1 Cu 0.250 0.500 0.711
Pt1 Pt 0.000 0.233 0.500
Pt2 Pt 0.000 0.276 0.000
```

DOS at the Fermi energy: 6.2 states/eV per cell
Relative energy among the computed polymorphs: 0 meV/atom
E: -6.979 eV/atom
Formation enthalpy at 0 K: -0.29 eV/atom

***

Record 4
Computed, not measured: a relaxed Ta2CuPt crystal at the PBE level of DFT.

Geometry as CIF:
```
data_Ta2CuPt
_chemical_formula_sum 'Ta2 Cu1 Pt1'
_symmetry_space_group_name_H-M 'P 1 m 1'
_symmetry_Int_Tables_number 6
_cell_length_a 2.778
_cell_length_b 4.572
_cell_length_c 5.029
_cell_angle_alpha 90.00
_cell_angle_beta 93.45
_cell_angle_gamma 90.00
loop_
_symmetry_equiv_pos_as_xyz
'x,y,z'
'x,-y,z'
loop_
_atom_site_label
_atom_site_type_symbol
_atom_site_fract_x
_atom_site_fract_y
_atom_site_fract_z
Ta1 Ta 0.000 0.000 0.000
Ta2 Ta 0.129 0.500 0.654
Cu1 Cu 0.569 0.500 0.157
Pt1 Pt 0.558 0.000 0.477
```

DOS at the Fermi energy: 3.5 states/eV per cell
E: -8.709 eV/atom
Formation enthalpy at 0 K: -0.25 eV/atom

***

Record 5
Computed, not measured: a relaxed Ta2CuPt crystal at the PBE level of DFT.

Geometry as CIF:
```
data_Ta2CuPt
_chemical_formula_sum 'Ta4 Cu2 Pt2'
_symmetry_space_group_name_H-M 'C m m 2'
_symmetry_Int_Tables_number 35
_cell_length_a 4.050
_cell_length_b 4.058
_cell_length_c 7.829
_cell_angle_alpha 90.00
_cell_angle_beta 90.00
_cell_angle_gamma 90.00
loop_
_symmetry_equiv_pos_as_xyz
'x,y,z'
'-x,-y,z'
'-x,y,z'
'x,-y,z'
'x+1/2,y+1/2,z'
'-x+1/2,-y+1/2,z'
'-x+1/2,y+1/2,z'
'x+1/2,-y+1/2,z'
loop_
_atom_site_label
_atom_site_type_symbol
_atom_site_fract_x
_atom_site_fract_y
_atom_site_fract_z
Ta1 Ta 0.000 0.000 0.000
Ta2 Ta 0.000 0.500 0.286
Cu1 Cu 0.000 0.500 0.759
Pt1 Pt 0.000 0.000 0.534
```

DOS at the Fermi energy: 6.0 states/eV per cell
E: -8.694 eV/atom
Formation enthalpy at 0 K: -0.23 eV/atom

***

Record 6
Computed, not measured: a relaxed TaCu3Pt crystal at the PBE level of DFT.

Geometry as CIF:
```
data_TaCu3Pt
_chemical_formula_sum 'Ta1 Cu3 Pt1'
_symmetry_space_group_name_H-M 'P m -3 m'
_symmetry_Int_Tables_number 221
_symmetry_space_group_name_Hall '-P 4 2 3'
_cell_length_a 4.653
_cell_length_b 4.653
_cell_length_c 4.653
_cell_angle_alpha 90.00
_cell_angle_beta 90.00
_cell_angle_gamma 90.00
loop_
_atom_site_label
_atom_site_type_symbol
_atom_site_fract_x
_atom_site_fract_y
_atom_site_fract_z
Ta1 Ta 0.000 0.000 0.000
Cu1 Cu 0.000 0.000 0.500
Pt1 Pt 0.500 0.500 0.500
```

DOS at the Fermi energy: 6.7 states/eV per cell
Relative energy among the computed polymorphs: 422 meV/atom
E: -4.315 eV/atom
Formation enthalpy at 0 K: 1.72 eV/atom

***

Record 7
Computed, not measured: a relaxed Ta4CuPt crystal at the PBE level of DFT.

Geometry as CIF:
```
data_Ta4CuPt
_chemical_formula_sum 'Ta16 Cu4 Pt4'
_symmetry_space_group_name_H-M 'F -4 3 m'
_symmetry_Int_Tables_number 216
_symmetry_space_group_name_Hall 'F -4 2 3'
_cell_length_a 7.562
_cell_length_b 7.562
_cell_length_c 7.562
_cell_angle_alpha 90.00
_cell_angle_beta 90.00
_cell_angle_gamma 90.00
loop_
_atom_site_label
_atom_site_type_symbol
_atom_site_fract_x
_atom_site_fract_y
_atom_site_fract_z
Ta1 Ta 0.124 0.124 0.124
Cu1 Cu 0.250 0.250 0.750
Pt1 Pt 0.000 0.000 0.500
```

DOS at the Fermi energy: 20.0 states/eV per cell
E: -9.204 eV/atom
Formation enthalpy at 0 K: 0.39 eV/atom

***

Record 8
Computed, not measured: a relaxed TaCu2Pt2 crystal at the PBE level of DFT.

Geometry as CIF:
```
data_TaCu2Pt2
_chemical_formula_sum 'Ta2 Cu4 Pt4'
_symmetry_space_group_name_H-M 'P 4/m b m'
_symmetry_Int_Tables_number 127
_symmetry_space_group_name_Hall '-P 4 2ab'
_cell_length_a 7.196
_cell_length_b 7.196
_cell_length_c 2.907
_cell_angle_alpha 90.00
_cell_angle_beta 90.00
_cell_angle_gamma 90.00
loop_
_atom_site_label
_atom_site_type_symbol
_atom_site_fract_x
_atom_site_fract_y
_atom_site_fract_z
Ta1 Ta 0.000 0.000 0.000
Cu1 Cu 0.161 0.339 0.500
Pt1 Pt 0.138 0.638 0.000
```

DOS at the Fermi energy: 9.6 states/eV per cell
Relative energy among the computed polymorphs: 313 meV/atom
E: -6.537 eV/atom
Formation enthalpy at 0 K: -0.11 eV/atom

***

Record 9
Computed, not measured: a relaxed TaCuPt4 crystal at the PBE level of DFT.

Geometry as CIF:
```
data_TaCuPt4
_chemical_formula_sum 'Ta4 Cu4 Pt16'
_symmetry_space_group_name_H-M 'F -4 3 m'
_symmetry_Int_Tables_number 216
_symmetry_space_group_name_Hall 'F -4 2 3'
_cell_length_a 7.356
_cell_length_b 7.356
_cell_length_c 7.356
_cell_angle_alpha 90.00
_cell_angle_beta 90.00
_cell_angle_gamma 90.00
loop_
_atom_site_label
_atom_site_type_symbol
_atom_site_fract_x
_atom_site_fract_y
_atom_site_fract_z
Ta1 Ta 0.000 0.000 0.000
Cu1 Cu 0.250 0.250 0.250
Pt1 Pt 0.125 0.125 0.625
```

DOS at the Fermi energy: 15.9 states/eV per cell
Relative energy among the computed polymorphs: 193 meV/atom
E: -6.786 eV/atom
Formation enthalpy at 0 K: -0.10 eV/atom

***

Record 10
Computed, not measured: a relaxed TaCuPt3 crystal at the PBE level of DFT.

Geometry as CIF:
```
data_TaCuPt3
_chemical_formula_sum 'Ta1 Cu1 Pt3'
_symmetry_space_group_name_H-M 'P m -3 m'
_symmetry_Int_Tables_number 221
_symmetry_space_group_name_Hall '-P 4 2 3'
_cell_length_a 4.506
_cell_length_b 4.506
_cell_length_c 4.506
_cell_angle_alpha 90.00
_cell_angle_beta 90.00
_cell_angle_gamma 90.00
loop_
_atom_site_label
_atom_site_type_symbol
_atom_site_fract_x
_atom_site_fract_y
_atom_site_fract_z
Ta1 Ta 0.000 0.000 0.000
Cu1 Cu 0.500 0.500 0.500
Pt1 Pt 0.000 0.500 0.500
```

DOS at the Fermi energy: 11.2 states/eV per cell
Relative energy among the computed polymorphs: 1421 meV/atom
E: -5.920 eV/atom
Formation enthalpy at 0 K: 0.89 eV/atom

***

Record 11
Computed, not measured: a relaxed Ta3CuPt crystal at the PBE level of DFT.

Geometry as CIF:
```
data_Ta3CuPt
_chemical_formula_sum 'Ta3 Cu1 Pt1'
_symmetry_space_group_name_H-M 'P m -3 m'
_symmetry_Int_Tables_number 221
_symmetry_space_group_name_Hall '-P 4 2 3'
_cell_length_a 4.575
_cell_length_b 4.575
_cell_length_c 4.575
_cell_angle_alpha 90.00
_cell_angle_beta 90.00
_cell_angle_gamma 90.00
loop_
_atom_site_label
_atom_site_type_symbol
_atom_site_fract_x
_atom_site_fract_y
_atom_site_fract_z
Ta1 Ta 0.000 0.000 0.500
Cu1 Cu 0.000 0.000 0.000
Pt1 Pt 0.500 0.500 0.500
```

DOS at the Fermi energy: 6.2 states/eV per cell
Relative energy among the computed polymorphs: 0 meV/atom
E: -8.080 eV/atom
Formation enthalpy at 0 K: 1.06 eV/atom

***

Record 12
Computed, not measured: a relaxed Ta2CuPt crystal at the PBE level of DFT.

Geometry as CIF:
```
data_Ta2CuPt
_chemical_formula_sum 'Ta4 Cu2 Pt2'
_symmetry_space_group_name_H-M 'C 1 2/m 1'
_symmetry_Int_Tables_number 12
_cell_length_a 9.487
_cell_length_b 2.839
_cell_length_c 4.895
_cell_angle_alpha 90.00
_cell_angle_beta 100.04
_cell_angle_gamma 90.00
loop_
_symmetry_equiv_pos_as_xyz
'x,y,z'
'-x,-y,-z'
'-x,y,-z'
'x,-y,z'
'x+1/2,y+1/2,z'
'-x+1/2,-y+1/2,-z'
'-x+1/2,y+1/2,-z'
'x+1/2,-y+1/2,z'
loop_
_atom_site_label
_atom_site_type_symbol
_atom_site_fract_x
_atom_site_fract_y
_atom_site_fract_z
Ta1 Ta 0.248 0.000 0.254
Cu1 Cu 0.000 0.000 0.500
Pt1 Pt 0.000 0.500 0.000
```

DOS at the Fermi energy: 4.5 states/eV per cell
E: -8.543 eV/atom
Formation enthalpy at 0 K: -0.08 eV/atom

***

Record 13
Computed, not measured: a relaxed Ta2CuPt crystal at the PBE level of DFT.

Geometry as CIF:
```
data_Ta2CuPt
_chemical_formula_sum 'Ta8 Cu4 Pt4'
_symmetry_space_group_name_H-M 'F -4 3 m'
_symmetry_Int_Tables_number 216
_symmetry_space_group_name_Hall 'F -4 2 3'
_cell_length_a 6.379
_cell_length_b 6.379
_cell_length_c 6.379
_cell_angle_alpha 90.00
_cell_angle_beta 90.00
_cell_angle_gamma 90.00
loop_
_atom_site_label
_atom_site_type_symbol
_atom_site_fract_x
_atom_site_fract_y
_atom_site_fract_z
Ta1 Ta 0.000 0.000 0.000
Ta2 Ta 0.250 0.250 0.250
Cu1 Cu 0.000 0.000 0.500
Pt1 Pt 0.250 0.250 0.750
```

DOS at the Fermi energy: 20.3 states/eV per cell
E: -8.434 eV/atom
Formation enthalpy at 0 K: 0.03 eV/atom